# 1
DFT (PBE-GGA) results for an optimized crystal structure of YAlTc.

SG: Imma, No. 74
Calculated total energy in eV/atom: -7.286

```
YAlTc
1.0
4.688 0.000 2.632
1.673 4.510 2.511
0.036 0.034 5.426
Al Y Tc
2 2 2
Cartesian
3.181 2.255 2.572 Al
2.362 0.017 4.029 Al
1.629 2.879 5.335 Y
4.768 1.666 5.235 Y
2.344 0.000 1.316 Tc
0.000 0.000 0.000 Tc
```

---

# 2
DFT (PBE-GGA) results for an optimized crystal structure of YAlTc.

SG: F-43m, No. 216
Calculated total energy in eV/atom: -6.655

```
YAlTc
1.0
-3.508 -2.172 1.853
-0.458 -4.463 -0.578
0.663 -2.811 3.481
Al Tc Y
1 1 1
Cartesian
-1.652 -4.723 2.378 Al
-2.478 -7.084 3.567 Tc
0.000 0.000 0.000 Y
```

---

# 3
DFT (PBE-GGA) results for an optimized crystal structure of YZrAlTc.

SG: F-43m, No. 216
Calculated total energy in eV/atom: -7.522

```
YZrAlTc
1.0
4.849 0.000 0.000
2.424 4.199 0.000
2.424 1.400 3.959
Tc Al Y Zr
1 1 1 1
Cartesian
7.273 4.199 2.969 Tc
2.424 1.400 0.990 Al
0.000 0.000 0.000 Y
4.849 2.799 1.980 Zr
```

---

# 4
DFT (PBE-GGA) results for an optimized crystal structure of AlZn4Tc.

SG: F-43m, No. 216
Calculated total energy in eV/atom: -3.088

```
AlZn4Tc
1.0
-2.370 0.036 4.343
-1.443 4.292 1.995
-4.809 1.149 0.185
Zn Al Tc
4 1 1
Cartesian
-4.419 2.067 4.627 Zn
-3.952 4.210 3.445 Zn
-3.225 2.049 2.440 Zn
-5.647 2.628 2.533 Zn
-6.466 4.108 4.892 Al
0.000 0.000 0.000 Tc
```

---

# 5
DFT (PBE-GGA) results for an optimized crystal structure of AlZnTc4.

SG: F-43m, No. 216
Calculated total energy in eV/atom: -7.454

```
AlZnTc4
1.0
0.000 3.618 3.618
3.618 0.000 3.618
3.618 3.618 0.000
Tc Al Zn
4 1 1
Cartesian
2.715 2.715 2.715 Tc
4.522 4.522 2.715 Tc
2.715 4.522 4.522 Tc
4.522 2.715 4.522 Tc
0.000 0.000 0.000 Al
5.428 5.428 5.428 Zn
```

---

# 6
DFT (PBE-GGA) results for an optimized crystal structure of Al2ZnTc.

SG: R3m, No. 160
Calculated total energy in eV/atom: -4.791

```
Al2ZnTc
1.0
8.936 0.024 0.014
8.475 2.835 0.014
8.475 1.392 2.470
Tc Al Zn
1 2 1
Cartesian
12.977 2.131 1.252 Tc
0.010 0.002 0.001 Al
6.352 1.043 0.613 Al
19.490 3.200 1.881 Zn
```